## a
# Nb4C3 meta-GGA SCAN single point on PBEsol structure
# - Total magnetization: 0.0 μB/f.u.
# - Calculated volume: 12.398 Å³ per atom
# - Crystal system: trigonal
data_Nb4C3
_cell_length_a 3.1367
_cell_length_b 3.1367
_cell_length_c 30.5562
_cell_angle_alpha 90.00
_cell_angle_beta 90.00
_cell_angle_gamma 120.00
_symmetry_space_group_name_H-M 'R -3 m'
_symmetry_Int_Tables_number 166
_symmetry_space_group_name_Hall '-R 3 2"'
loop_
_atom_site_label
_atom_site_type_symbol
_atom_site_fract_x
_atom_site_fract_y
_atom_site_fract_z
_atom_site_occupancy
Nb1 Nb 0.0000 0.0000 0.1228 1
Nb2 Nb 0.0000 0.0000 0.3754 1
C1 C 0.0000 0.0000 0.2528 1
C2 C 0.0000 0.0000 0.5000 1

=====

## b
# Nb4C3 meta-GGA SCAN single point on PBEsol structure
# - Total magnetization: 0.0 μB/f.u.
# - Calculated volume: 12.386 Å³ per atom
# - Crystal system: trigonal
data_Nb4C3
_cell_length_a 3.1310
_cell_length_b 3.1310
_cell_length_c 30.6379
_cell_angle_alpha 90.00
_cell_angle_beta 90.00
_cell_angle_gamma 120.00
_symmetry_space_group_name_H-M 'R 3 m'
_symmetry_Int_Tables_number 160
_symmetry_space_group_name_Hall 'R 3 -2"'
loop_
_atom_site_label
_atom_site_type_symbol
_atom_site_fract_x
_atom_site_fract_y
_atom_site_fract_z
_atom_site_occupancy
Nb1 Nb 0.0000 0.0000 0.0000 1
Nb2 Nb 0.0000 0.0000 0.1644 1
Nb3 Nb 0.0000 0.0000 0.5791 1
Nb4 Nb 0.0000 0.0000 0.7488 1
C1 C 0.0000 0.0000 0.2891 1
C2 C 0.0000 0.0000 0.3777 1
C3 C 0.0000 0.0000 0.8702 1

=====

Relative to the most stable structure, the computed energies are a 0.000; b 0.031, all in eV/atom.